[1]
This record from Alexandria via LeMat-Bulk describes AlHg2P after structural relaxation. The functional is PBE-GGA.

## Properties
Relative energy among the computed polymorphs, meV per atom: 392.7
M_tot, μB/atom: 0.000
V, Å³/cell: 89

Cell lengths 6.487, 6.487, 6.487 Å; angles 145.17, 145.17, 50.09 degrees
Element x y z (fractional)
Al (0.000, 0.000, 0.000)
Hg (0.250, 0.750, 0.500)
Hg (0.750, 0.250, 0.500)
P (0.500, 0.500, 0.000)

[2]
This record from Alexandria via LeMat-Bulk describes Nb2IrSe after structural relaxation. The functional is PBE-GGA.

## Properties
Energy relative to the elements, uncorrected, meV per atom: 2
M_tot, μB/atom: 0.000
V, Å³/cell: 145

Cell lengths 5.781, 5.781, 5.781 Å; angles 104.45, 104.45, 120.06 degrees
Element x y z (fractional)
Nb (0.122, 0.125, 0.497)
Nb (0.375, 0.878, 0.003)
Nb (0.628, 0.625, 0.503)
Nb (0.875, 0.372, 0.997)
Ir (0.250, 0.750, 0.500)
Ir (0.500, 0.500, 0.000)
Se (0.000, 0.000, 0.000)
Se (0.750, 0.250, 0.500)

[3]
This record from Alexandria via LeMat-Bulk describes Ce2Y2Ho5 after structural relaxation. The functional is PBE-GGA.

## Properties
M_tot, μB/atom: 0.000
V, Å³/cell: 282

Cell lengths 8.698, 8.698, 6.533 Å; angles 109.55, 109.55, 37.66 degrees
Element x y z (fractional)
Ce (0.078, 0.078, 0.487)
Ce (0.922, 0.922, 0.513)
Y (0.437, 0.437, 0.219)
Y (0.563, 0.563, 0.781)
Ho (0.000, 0.000, 0.000)
Ho (0.207, 0.207, 0.057)
Ho (0.320, 0.320, 0.645)
Ho (0.680, 0.680, 0.355)
Ho (0.793, 0.793, 0.943)

[4]
This record from Alexandria via LeMat-Bulk describes EuThHgSb after structural relaxation. The functional is PBE-GGA.

## Properties
Energy relative to the elements, uncorrected, meV per atom: -515
M_tot, μB/atom: 1.954
V, Å³/cell: 116

Cell lengths 5.466, 5.466, 5.466 Å; angles 60.00, 60.00, 60.00 degrees
Element x y z (fractional)
Eu (0.000, 0.000, 0.000)
Th (0.500, 0.500, 0.500)
Hg (0.250, 0.250, 0.250)
Sb (0.750, 0.750, 0.750)

Record-wise Fermi-level density of states values, in states/eV/f.u.: 1.98; 2.78; 18.81; 4.12
Record-wise raw total energy values, in eV per atom: -2.0935; -8.1192; -5.1814; -6.0446